Computed, not measured: a relaxed LaFeCu2 crystal at the PBE-GGA level of DFT.

energy of formation from the pure elements = 0.3228 eV per atom
mass density = 8.0 g/cm³

a b c (Å): 3.8866 3.8866 4.4042
angles (deg): 90.00 90.00 90.00
Space group P4/mmm (No. 123)
Asymmetric unit:
La  0.0000  0.0000  0.0000 (multiplicity 1)
Fe  0.5000  0.5000  0.0000 (multiplicity 1)
Cu  0.0000  0.5000  0.5000 (multiplicity 2)

=====

Computed, not measured: a relaxed LaFeCu4 crystal at the PBE-GGA level of DFT.

energy of formation from the pure elements = 0.0783 eV per atom
mass density = 8.0 g/cm³

a b c (Å): 7.2053 7.2053 7.2053
angles (deg): 90.00 90.00 90.00
Space group F-43m (No. 216)
Asymmetric unit:
La  0.0000  0.0000  0.0000 (multiplicity 4)
Fe  0.2500  0.2500  0.7500 (multiplicity 4)
Cu  0.1230  0.1230  0.3770 (multiplicity 16)